Entry 1:
Compound: K3Sm3InS8
Source: Alexandria
Functional: PBE-GGA
Structure: relaxed

Calculated values
Space group = C2/m (12)
E_form (uncorrected) = -1.49 eV per atom

Unit cell a=8.1256 b=8.1316 c=8.8779 alpha=117.29 beta=90.00 gamma=119.98
Fractional positions:
K  0.0000  0.0000  0.0000
K  0.0000  0.5000  0.0000
K  0.5000  0.5000  0.0000
Sm  0.5000  0.0000  0.5000
Sm  0.5000  0.5000  0.5000
Sm  0.0000  0.5000  0.5000
In  0.0000  0.0000  0.5000
S  0.2649  0.5299  0.2948
S  0.7351  0.4701  0.7052
S  0.7738  0.5476  0.3021
S  0.2262  0.4524  0.6979
S  0.7739  0.0283  0.3021
S  0.2261  0.9717  0.6979
S  0.2545  0.0283  0.3021
S  0.7455  0.9717  0.6979


Entry 2:
Compound: K2SmInS4
Source: Alexandria
Functional: PBE-GGA
Structure: relaxed

Calculated values
Space group = Imma (74)
E_form (uncorrected) = -1.31 eV per atom

Unit cell a=8.3780 b=8.3780 c=8.4432 alpha=120.26 beta=120.26 gamma=90.62
Fractional positions:
K  0.5000  0.0000  0.0000
K  0.5000  0.0000  0.5000
K  0.0000  0.0000  0.5000
K  0.5000  0.5000  0.0000
Sm  0.0000  0.5000  0.0000
Sm  0.0000  0.5000  0.5000
In  0.5000  0.5000  0.5000
In  0.0000  0.0000  0.0000
S  0.2114  0.7415  0.9764
S  0.7585  0.2886  0.5236
S  0.2415  0.7114  0.4765
S  0.7886  0.2585  0.0235
S  0.7600  0.7398  0.9614
S  0.7602  0.7400  0.5386
S  0.2398  0.2600  0.4614
S  0.2400  0.2602  0.0386


Entry 3:
Compound: K3In3SnS8
Source: Alexandria
Functional: PBE-GGA
Structure: relaxed

Calculated values
Space group = C2/m (12)
E_form (uncorrected) = -0.82 eV per atom

Unit cell a=7.7165 b=7.7192 c=8.7524 alpha=116.23 beta=90.01 gamma=119.94
Fractional positions:
K  0.0000  0.0000  0.0000
K  0.0000  0.5000  0.0000
K  0.5000  0.5000  0.0000
In  0.5000  0.0000  0.5000
In  0.5000  0.5000  0.5000
In  0.0000  0.5000  0.5000
Sn  0.0000  0.0000  0.5000
S  0.2691  0.5382  0.3074
S  0.7309  0.4618  0.6926
S  0.7728  0.5456  0.3079
S  0.2272  0.4544  0.6921
S  0.7729  0.0350  0.3080
S  0.2271  0.9650  0.6920
S  0.2621  0.0349  0.3079
S  0.7379  0.9651  0.6921


Entry 4:
Compound: K2In2SnS6
Source: Alexandria
Functional: PBE-GGA
Structure: relaxed

Calculated values
Space group = C2/m (12)
E_form (uncorrected) = -0.79 eV per atom

Unit cell a=6.6321 b=6.6321 c=7.9265 alpha=98.28 beta=98.28 gamma=119.87
Fractional positions:
K  0.8318  0.1682  0.0000
K  0.1682  0.8318  0.0000
In  0.3313  0.6687  0.5000
In  0.6687  0.3313  0.5000
Sn  0.0000  0.0000  0.5000
S  0.7403  0.7403  0.6887
S  0.0657  0.3918  0.6926
S  0.2597  0.2597  0.3113
S  0.3918  0.0657  0.6926
S  0.9343  0.6082  0.3074
S  0.6082  0.9343  0.3074